Record 1
La2GaCu2 | PBE | relaxed Values from VASP.

space group	No. 139
energy relative to the elements	-0.95	eV/f.u.

```
&SYSTEM
  ibrav = 0, nat = 5, ntyp = 3
/
ATOMIC_SPECIES
La 138.91 La.upf
Ga 69.72 Ga.upf
Cu 63.55 Cu.upf
CELL_PARAMETERS angstrom
-1.781 1.781 9.117
1.781 -1.781 9.117
1.781 1.781 -9.117
ATOMIC_POSITIONS crystal
La 0.110 0.110 0.000
La 0.890 0.890 0.000
Ga 0.500 0.500 0.000
Cu 0.250 0.750 0.500
Cu 0.750 0.250 0.500
```

---

Record 2
CaScZnPt2 | PBE | relaxed Values from VASP.

space group	No. 119
energy relative to the elements	-4.57	eV/f.u.

```
&SYSTEM
  ibrav = 0, nat = 5, ntyp = 4
/
ATOMIC_SPECIES
Ca 40.08 Ca.upf
Sc 44.96 Sc.upf
Zn 65.41 Zn.upf
Pt 195.08 Pt.upf
CELL_PARAMETERS angstrom
-2.062 2.062 6.050
2.062 -2.062 6.050
2.062 2.062 -6.050
ATOMIC_POSITIONS crystal
Ca 0.000 0.000 0.000
Sc 0.750 0.250 0.500
Zn 0.250 0.750 0.500
Pt 0.390 0.390 0.000
Pt 0.610 0.610 0.000
```

---

Record 3
ZnAg6Au12 | PBE | relaxed Values from VASP.

space group	No. 148
energy relative to the elements	-0.75	eV/f.u.
relative energy among the computed polymorphs	0.0	meV/atom

```
&SYSTEM
  ibrav = 0, nat = 19, ntyp = 3
/
ATOMIC_SPECIES
Zn 65.41 Zn.upf
Ag 107.87 Ag.upf
Au 196.97 Au.upf
CELL_PARAMETERS angstrom
6.375 3.680 2.409
-6.375 3.680 2.409
0.000 -7.361 2.409
ATOMIC_POSITIONS crystal
Zn 0.000 0.000 0.000
Ag 0.212 0.474 0.316
Ag 0.316 0.212 0.474
Ag 0.474 0.316 0.212
Ag 0.526 0.684 0.788
Ag 0.684 0.788 0.526
Ag 0.788 0.526 0.684
Au 0.050 0.366 0.578
Au 0.106 0.742 0.155
Au 0.155 0.106 0.742
Au 0.258 0.845 0.894
Au 0.366 0.578 0.050
Au 0.422 0.950 0.634
Au 0.578 0.050 0.366
Au 0.634 0.422 0.950
Au 0.742 0.155 0.106
Au 0.845 0.894 0.258
Au 0.894 0.258 0.845
Au 0.950 0.634 0.422
```

---

Record 4
Ho5ThTl6 | PBE | relaxed Values from VASP.

space group	No. 71
energy relative to the elements	-3.37	eV/f.u.
relative energy among the computed polymorphs	0.0	meV/atom

```
&SYSTEM
  ibrav = 0, nat = 12, ntyp = 3
/
ATOMIC_SPECIES
Ho 164.93 Ho.upf
Th 232.04 Th.upf
Tl 204.38 Tl.upf
CELL_PARAMETERS angstrom
-2.706 3.750 8.115
2.706 -3.750 8.115
2.706 3.750 -8.115
ATOMIC_POSITIONS crystal
Ho 0.000 0.000 0.000
Ho 0.169 0.669 0.500
Ho 0.340 0.340 0.000
Ho 0.660 0.660 0.000
Ho 0.831 0.331 0.500
Th 0.500 0.000 0.500
Tl 0.072 0.829 0.243
Tl 0.235 0.500 0.735
Tl 0.414 0.171 0.243
Tl 0.586 0.829 0.757
Tl 0.765 0.500 0.265
Tl 0.928 0.171 0.757
```

---

Record 5
Na2TaAsOs | PBE | relaxed Values from VASP.

space group	No. 123
energy relative to the elements	6.81	eV/f.u.

```
&SYSTEM
  ibrav = 0, nat = 5, ntyp = 4
/
ATOMIC_SPECIES
Na 22.99 Na.upf
Ta 180.95 Ta.upf
As 74.92 As.upf
Os 190.23 Os.upf
CELL_PARAMETERS angstrom
4.818 0.000 0.000
0.000 4.818 0.000
0.000 0.000 4.981
ATOMIC_POSITIONS crystal
Na 0.000 0.500 0.000
Na 0.500 0.000 0.000
Ta 0.000 0.000 0.500
As 0.000 0.000 0.000
Os 0.500 0.500 0.500
```

---

Record 6
InHgGeI6 | PBE | relaxed Values from VASP.

space group	No. 149
formation energy (no corrections)	-6.6	kcal/mol of atoms

```
&SYSTEM
  ibrav = 0, nat = 9, ntyp = 4
/
ATOMIC_SPECIES
In 114.82 In.upf
Hg 200.59 Hg.upf
Ge 72.64 Ge.upf
I 126.90 I.upf
CELL_PARAMETERS angstrom
7.562 0.000 0.000
-3.781 6.548 0.000
0.000 0.000 7.324
ATOMIC_POSITIONS crystal
In 0.000 0.000 0.000
Hg 0.333 0.667 0.500
Ge 0.667 0.333 0.000
I 0.329 0.018 0.237
I 0.329 0.311 0.763
I 0.689 0.018 0.763
I 0.689 0.671 0.237
I 0.982 0.311 0.237
I 0.982 0.671 0.763
```

---

Record 7
SmCdRu | PBE | relaxed Values from VASP.

space group	No. 107
energy relative to the elements	-0.15	eV/f.u.

```
&SYSTEM
  ibrav = 0, nat = 3, ntyp = 3
/
ATOMIC_SPECIES
Sm 150.36 Sm.upf
Cd 112.41 Cd.upf
Ru 101.07 Ru.upf
CELL_PARAMETERS angstrom
-1.756 1.756 5.293
1.756 -1.756 5.293
1.756 1.756 -5.293
ATOMIC_POSITIONS crystal
Sm 0.000 0.000 0.000
Cd 0.709 0.709 0.000
Ru 0.350 0.350 0.000
```

---

Record 8
YBO2F | PBE | relaxed Values from VASP.

space group	No. 123
formation energy (no corrections)	-22.6	kcal/mol of atoms

```
&SYSTEM
  ibrav = 0, nat = 5, ntyp = 4
/
ATOMIC_SPECIES
Y 88.91 Y.upf
B 10.81 B.upf
O 16.00 O.upf
F 19.00 F.upf
CELL_PARAMETERS angstrom
4.413 0.000 0.000
0.000 4.413 0.000
0.000 0.000 4.376
ATOMIC_POSITIONS crystal
Y 0.000 0.000 0.000
B 0.500 0.500 0.500
O 0.000 0.500 0.000
O 0.500 0.000 0.000
F 0.000 0.000 0.500
```

---

Record 9
LaGd2F | PBE | relaxed Values from VASP.

space group	No. 166
formation energy (no corrections)	-26.3	kcal/mol of atoms

```
&SYSTEM
  ibrav = 0, nat = 4, ntyp = 3
/
ATOMIC_SPECIES
La 138.91 La.upf
Gd 157.25 Gd.upf
F 19.00 F.upf
CELL_PARAMETERS angstrom
1.866 1.078 8.817
-1.866 1.078 8.817
0.000 -2.155 8.817
ATOMIC_POSITIONS crystal
La 0.000 0.000 0.000
Gd 0.223 0.223 0.223
Gd 0.777 0.777 0.777
F 0.500 0.500 0.500
```

---

Record 10
Cd2HgPb8 | PBE | relaxed Values from VASP.

space group	No. 12
energy relative to the elements	0.21	eV/f.u.
relative energy among the computed polymorphs	0.0	meV/atom

```
&SYSTEM
  ibrav = 0, nat = 11, ntyp = 3
/
ATOMIC_SPECIES
Cd 112.41 Cd.upf
Hg 200.59 Hg.upf
Pb 207.20 Pb.upf
CELL_PARAMETERS angstrom
8.669 -2.483 0.000
8.669 2.483 0.000
-2.459 0.000 7.561
ATOMIC_POSITIONS crystal
Cd 0.227 0.227 0.136
Cd 0.773 0.773 0.864
Hg 0.500 0.500 0.500
Pb 0.044 0.044 0.229
Pb 0.142 0.142 0.694
Pb 0.321 0.321 0.584
Pb 0.401 0.401 0.035
Pb 0.599 0.599 0.965
Pb 0.679 0.679 0.416
Pb 0.858 0.858 0.306
Pb 0.956 0.956 0.771
```

---

Record 11
NaAsIrBr2 | PBE | relaxed Values from VASP.

space group	No. 123
formation energy (no corrections)	28.2	kcal/mol of atoms
relative energy among the computed polymorphs	1411.8	meV/atom

```
&SYSTEM
  ibrav = 0, nat = 5, ntyp = 4
/
ATOMIC_SPECIES
Na 22.99 Na.upf
As 74.92 As.upf
Ir 192.22 Ir.upf
Br 79.90 Br.upf
CELL_PARAMETERS angstrom
5.021 0.000 0.000
0.000 5.021 0.000
0.000 0.000 5.559
ATOMIC_POSITIONS crystal
Na 0.000 0.000 0.000
As 0.000 0.000 0.500
Ir 0.500 0.500 0.500
Br 0.000 0.500 0.000
Br 0.500 0.000 0.000
```

---

Record 12
CsNaGeTe3 | PBE | relaxed Values from VASP.

space group	No. 12
formation energy (no corrections)	-11.6	kcal/mol of atoms

```
&SYSTEM
  ibrav = 0, nat = 12, ntyp = 4
/
ATOMIC_SPECIES
Cs 132.91 Cs.upf
Na 22.99 Na.upf
Ge 72.64 Ge.upf
Te 127.60 Te.upf
CELL_PARAMETERS angstrom
6.148 -4.450 0.000
6.148 4.450 0.000
-1.113 0.000 9.272
ATOMIC_POSITIONS crystal
Cs 0.148 0.148 0.384
Cs 0.852 0.852 0.616
Na 0.307 0.693 0.000
Na 0.693 0.307 0.000
Ge 0.480 0.480 0.363
Ge 0.520 0.520 0.637
Te 0.131 0.635 0.271
Te 0.338 0.338 0.760
Te 0.365 0.869 0.729
Te 0.635 0.131 0.271
Te 0.662 0.662 0.240
Te 0.869 0.365 0.729
```

---

no.,DFT total energy (eV per formula unit),total magnetization (μB/atom),N(E_F) (states/eV/atom)
1,-22.02,0.000,0.73
2,-26.26,0.000,0.58
3,-58.46,0.000,0.25
4,-47.88,0.000,0.62
5,-23.56,0.278,0.89
6,-19.54,0.000,0.50
7,-15.06,0.000,0.73
8,-29.83,0.200,0.38
9,-39.51,3.588,1.25
10,-31.58,0.000,0.33
11,-12.06,0.755,1.31
12,-19.24,0.000,0.55